(1)
The following is a DFT calculation (GGA-PBE) of a relaxed LaZn2MoN4 crystal.

```
LaZn2MoN4
1.0
-2.647 2.647 4.073
2.647 -2.647 4.073
2.647 2.647 -4.073
La Zn Mo N
1 2 1 4
Direct
0.000 0.000 0.000
0.250 0.750 0.500
0.750 0.250 0.500
0.500 0.500 0.000
0.155 0.155 0.585
0.430 0.845 0.000
0.570 0.570 0.415
0.845 0.430 0.000
```

## Properties
Total DFT energy (no corrections)   -6.894 eV/atom
Total magnetization   0.51 Bohr magnetons per cell
Crystal system   tetragonal
ρ   6.14 g/cm3
Uncorrected formation energy   -0.443 eV per atom

(2)
The following is a DFT calculation (GGA-PBE) of a relaxed NaLaMo2 crystal.

```
NaLaMo2
1.0
0.000 3.435 3.435
3.435 0.000 3.435
3.435 3.435 0.000
Na La Mo
1 1 2
Direct
0.000 0.000 0.000
0.500 0.500 0.500
0.250 0.250 0.250
0.750 0.750 0.750
```

## Properties
Total DFT energy (no corrections)   -5.659 eV/atom
Total magnetization   0.00 Bohr magnetons per cell
Crystal system   cubic
Energy above the most stable polymorph in this dataset   0.000 eV/atom
ρ   7.25 g/cm3
Energy of formation   1.3178 eV/atom